DFT (PBE) results for a relaxed BaYPa crystal.

Results
E, eV per atom: -4.5611

Unit cell a=8.0120 b=8.0120 c=8.0120 alpha=90.00 beta=90.00 gamma=90.00
Atoms (fractional coordinates):
Ba (0.0000, 0.0000, 0.0000)
Ba (0.0000, 0.5000, 0.5000)
Ba (0.5000, 0.0000, 0.5000)
Ba (0.5000, 0.5000, 0.0000)
Y (0.0000, 0.0000, 0.5000)
Y (0.0000, 0.5000, 0.0000)
Y (0.5000, 0.0000, 0.0000)
Y (0.5000, 0.5000, 0.5000)
Pa (0.2500, 0.2500, 0.2500)
Pa (0.2500, 0.7500, 0.7500)
Pa (0.7500, 0.2500, 0.7500)
Pa (0.7500, 0.7500, 0.2500)